1.
GGA-PBEsol LaGaSbTe2, relaxed; formation energy without anion corrections = -0.319 eV per atom
1.0
5.1802 0.0000 0.0000
0.0000 5.3597 0.0000
0.0000 0.0000 5.3597
Sb Te Ga La
1 2 1 1
direct
0.5000 0.0000 0.0000
0.0000 0.0000 0.5000
0.0000 0.5000 0.0000
0.0000 0.0000 0.0000
0.5000 0.5000 0.5000



2.
GGA-PBEsol LaScGa2, relaxed; formation enthalpy at 0 K = -568 meV/atom
1.0
-1.4908 -4.5428 1.4125
3.3365 -3.6667 0.5269
1.1421 -1.6967 4.5466
Sc Ga La
1 2 1
direct
0.0000 0.0000 0.0000
0.2500 0.2500 0.2500
0.7500 0.7500 0.7500
0.5000 0.5000 0.5000



3.
GGA-PBEsol LaSc2Ga2, relaxed; offset from the most stable computed form = 0 meV/atom; formation enthalpy at 0 K = -512 meV/atom
1.0
4.3742 0.0000 0.0000
0.0000 4.3742 0.0000
-2.1871 -2.1871 6.0811
Sc Ga La
2 2 1
direct
0.2500 0.7500 0.5000
0.7500 0.2500 0.5000
0.3977 0.3977 0.7954
0.6023 0.6023 0.2046
0.0000 0.0000 0.0000



4.
GGA-PBEsol La2ScGa2, relaxed; formation enthalpy at 0 K = -491 meV/atom
1.0
4.5618 0.0000 0.0000
0.0000 7.5219 0.0000
0.0000 0.0000 7.5219
Sc Ga La
2 4 4
direct
0.0000 0.0000 0.0000
0.0000 0.5000 0.5000
0.0000 0.3766 0.8766
0.0000 0.8766 0.6234
0.0000 0.6234 0.1234
0.0000 0.1234 0.3766
0.5000 0.1740 0.6740
0.5000 0.6740 0.8260
0.5000 0.8260 0.3260
0.5000 0.3260 0.1740



5.
GGA-PBEsol LaSc2Ga2, relaxed; offset from the most stable computed form = 241 meV/atom; formation enthalpy at 0 K = -271 meV/atom
1.0
4.6709 0.0000 0.0000
0.0000 4.6709 0.0000
-2.3355 -2.3355 5.5645
Sc Ga La
2 2 1
direct
0.3612 0.3612 0.7223
0.6388 0.6388 0.2777
0.2500 0.7500 0.5000
0.7500 0.2500 0.5000
0.0000 0.0000 0.0000



6.
GGA-PBEsol LaSc3Ga, relaxed; formation enthalpy at 0 K = 918 meV/atom
1.0
-1.7250 3.4587 3.3041
-4.1775 0.6216 -2.8317
-2.3300 -3.6751 2.6307
Sc Ga La
3 1 1
direct
0.0000 0.5000 0.0000
0.0000 0.0000 0.5000
0.5000 0.0000 0.0000
0.5000 0.5000 0.5000
0.0000 0.0000 0.0000



7.
GGA-PBEsol LaY2ScGa, relaxed; formation enthalpy at 0 K = 54 meV/atom
1.0
5.1865 0.0000 0.0000
0.0000 5.4495 0.0000
0.0000 0.0000 5.4495
Y Sc Ga La
2 1 1 1
direct
0.0000 0.0000 0.5000
0.0000 0.5000 0.0000
0.5000 0.0000 0.0000
0.0000 0.0000 0.0000
0.5000 0.5000 0.5000



8.
GGA-PBEsol LaGaSe2, relaxed; formation energy without anion corrections = -0.920 eV per atom
1.0
-4.0621 -2.2249 4.4954
5.0040 -1.3999 3.8289
-0.8446 8.1989 -1.3389
Ga Se La
2 4 2
direct
0.7500 0.2500 0.5000
0.5000 0.5000 0.0000
0.3708 0.8750 0.2500
0.8792 0.3750 0.2500
0.1250 0.1208 0.7500
0.6250 0.6292 0.7500
0.2500 0.7500 0.5000
0.0000 0.0000 0.0000



9.
GGA-PBEsol LaGaSi3, relaxed; formation energy without anion corrections = 0.232 eV per atom
1.0
-2.8617 -1.4376 -3.5300
2.9164 -3.6679 -0.8705
-2.4540 -2.6826 3.0819
Si Ga La
3 1 1
direct
0.0000 0.5000 0.0000
0.0000 0.0000 0.5000
0.5000 0.0000 0.0000
0.0000 0.0000 0.0000
0.5000 0.5000 0.5000



10.
GGA-PBEsol LaGaSi, relaxed; formation energy without anion corrections = -0.780 eV per atom
1.0
4.2522 0.0000 0.0000
0.0000 4.2522 0.0000
-2.1261 -2.1261 7.1645
Si Ga La
2 2 2
direct
0.9143 0.4143 0.8286
0.6643 0.6643 0.3286
0.0812 0.5812 0.1625
0.8312 0.8312 0.6625
0.4979 0.9979 0.9959
0.2479 0.2479 0.4959



11.
GGA-PBEsol La4GaSi3, relaxed; formation energy without anion corrections = -0.738 eV per atom
1.0
-1.9881 2.3319 -2.5508
2.2850 -1.7928 -3.4198
-7.9034 -7.9537 -1.1110
Si Ga La
3 1 4
direct
0.0000 0.5000 0.5676
0.5000 0.5000 0.4340
0.5000 0.0000 0.9304
0.0000 0.0000 0.0676
0.0000 0.0000 0.3605
0.0000 0.5000 0.8552
0.5000 0.5000 0.1434
0.5000 0.0000 0.6415



12.
GGA-PBEsol LaGa3Sn, relaxed; formation enthalpy at 0 K = 796 meV/atom
1.0
-3.7503 -3.4968 1.9642
1.1991 -3.5437 -4.0193
3.8273 -2.3162 3.1840
Sn Ga La
1 3 1
direct
0.5000 0.5000 0.5000
0.0000 0.5000 0.0000
0.0000 0.0000 0.5000
0.5000 0.0000 0.0000
0.0000 0.0000 0.0000



13.
GGA-PBEsol Sr2LaGaTe, relaxed; formation energy without anion corrections = -0.201 eV per atom
1.0
5.9923 0.0000 0.0000
0.0000 6.0107 0.0000
0.0000 0.0000 6.0107
Sr Te Ga La
2 1 1 1
direct
0.0000 0.0000 0.5000
0.0000 0.5000 0.0000
0.0000 0.0000 0.0000
0.5000 0.5000 0.5000
0.5000 0.0000 0.0000



| no. | E_tot (eV per atom) |
| --- | --- |
| 1 | -4.38 |
| 2 | -5.23 |
| 3 | -5.56 |
| 4 | -5.29 |
| 5 | -5.32 |
| 6 | -4.78 |
| 7 | -5.73 |
| 8 | -5.02 |
| 9 | -4.95 |
| 10 | -5.59 |
| 11 | -5.98 |
| 12 | -3.13 |
| 13 | -3.38 |